This record from Alexandria via LeMat-Bulk describes a relaxed RbReS3 crystal. The functional is PBE.

Output
Energy relative to the elements, uncorrected, eV/atom: 2.3114

Lattice parameters (Å, degrees): 5.4510 5.4510 5.4510 90.00 90.00 90.00
Space group Pm-3m (No. 221)
Inequivalent atoms, fractional coordinates:
Rb  0.0000  0.0000  0.0000 [1 per cell]
Re  0.5000  0.5000  0.5000 [1 per cell]
S  0.0000  0.0000  0.5000 [3 per cell]

---

This record from Alexandria via LeMat-Bulk describes a relaxed Hg2MoAu crystal. The functional is PBE.

Lattice parameters (Å, degrees): 4.4617 4.4617 7.8678 90.00 90.00 90.00
Space group I4/mmm (No. 139)
Inequivalent atoms, fractional coordinates:
Hg  0.0000  0.5000  0.2500 [4 per cell]
Mo  0.0000  0.0000  0.0000 [2 per cell]
Au  0.0000  0.0000  0.5000 [2 per cell]

---

This record from Alexandria via LeMat-Bulk describes a relaxed Na3PaF8 crystal. The functional is PBE.

Output
Energy relative to the elements, uncorrected, eV/atom: -3.3675

Lattice parameters (Å, degrees): 5.5111 5.5111 5.5111 90.00 90.00 90.00
Space group Pm-3m (No. 221)
Inequivalent atoms, fractional coordinates:
Na  0.0000  0.0000  0.5000 [3 per cell]
Pa  0.5000  0.5000  0.5000 [1 per cell]
F  0.2670  0.2670  0.2670 [8 per cell]

---

This record from Alexandria via LeMat-Bulk describes a relaxed VSb crystal. The functional is PBE.

Output
Energy relative to the elements, uncorrected, eV/atom: 0.4197

Lattice parameters (Å, degrees): 8.0467 8.0467 8.0467 90.00 90.00 90.00
Space group I-43m (No. 217)
Inequivalent atoms, fractional coordinates:
V  0.1113  0.1113  0.1113 [8 per cell]
Sb  0.1983  0.1983  0.8017 [8 per cell]

---

This record from Alexandria via LeMat-Bulk describes a relaxed ZrAgCl2 crystal. The functional is PBE.

Output
Energy relative to the elements, uncorrected, eV/atom: -0.5084

Lattice parameters (Å, degrees): 8.8652 8.8652 5.7383 90.00 90.00 90.00
Space group I-42d (No. 122)
Inequivalent atoms, fractional coordinates:
Zr  0.0000  0.0000  0.0000 [4 per cell]
Ag  0.0000  0.0000  0.5000 [4 per cell]
Cl  0.1159  0.2500  0.1250 [8 per cell]

---

This record from Alexandria via LeMat-Bulk describes a relaxed LaNiSeN2 crystal. The functional is PBE.

Output
Energy relative to the elements, uncorrected, eV/atom: 1.1029

Lattice parameters (Å, degrees): 4.0613 4.0613 6.4715 90.00 90.00 90.00
Space group P4/mmm (No. 123)
Inequivalent atoms, fractional coordinates:
La  0.0000  0.0000  0.0000 [1 per cell]
Ni  0.5000  0.5000  0.5000 [1 per cell]
Se  0.0000  0.0000  0.5000 [1 per cell]
N  0.0000  0.5000  0.0000 [2 per cell]

---

no.,density of states at the Fermi level (states/eV per cell),E_tot (eV/atom)
1,6.486,-2.848
2,3.869,-3.102
3,0.000,-5.736
4,22.233,-6.201
5,22.131,-4.282
6,5.999,-5.066